(a)
Below is a relaxed Sr3Tc2 crystal, with properties calculated at the PBE level.

Calculated values
Size of the total moment, μB/atom: 0.072

a = 4.8533 Å, b = 4.8533 Å, c = 8.9720 Å
α = 90.00°, β = 90.00°, γ = 120.00°
Space group P-3m1 (No. 164)
Asymmetric unit:
Sr (0.0000, 0.0000, 0.0000)
Sr (0.3333, 0.6667, 0.3073)
Tc (0.3333, 0.6667, 0.9719)


(b)
Below is a relaxed Sr3Tc2 crystal, with properties calculated at the PBE level.

Calculated values
Size of the total moment, μB/atom: 0.000

a = 13.427 Å, b = 24.705 Å, c = 3.875 Å
α = 90.00°, β = 90.00°, γ = 90.00°
Space group Fdd2 (No. 43)
Asymmetric unit:
Sr (0.000, 0.000, 0.000)
Sr (0.101, 0.358, 0.772)
Tc (0.030, 0.229, 0.784)


Stability verdict: (b), ahead by 363 meV per atom